[1]
## CsRbPbBr4 (PBE)

Data for a relaxed structure of CsRbPbBr4.

Unit cell a=9.9177 b=9.9177 c=9.9177 alpha=145.04 beta=145.04 gamma=50.27
With the nearest neighbours (Å) after each atom.
Element x y z (fractional)
Cs1 0.0000 0.0000 0.0000  1 Br 3.50
Rb1 0.7216 0.7216 0.0000  1 Br 3.42
Pb1 0.3611 0.3611 0.0000  6 Br 2.98-3.06
Br1 0.1952 0.1952 0.0000  1 Pb 2.98
Br2 0.3558 0.8558 0.5000  2 Pb 2.98
Br3 0.5314 0.5314 0.0000  1 Pb 3.06, 1 Rb 3.42
Br4 0.8558 0.3558 0.5000  2 Pb 2.98

Values from the calculation:
E_form (uncorrected)   -1402 meV/atom
D(E_F)   0.0 states/eV per cell
SG   I4mm (107)

---

[2]
## CsRb2PbBr5 (PBE)

Data for a relaxed structure of CsRb2PbBr5.

Unit cell a=9.8180 b=9.8180 c=9.8180 alpha=145.40 beta=130.02 gamma=62.21
With the nearest neighbours (Å) after each atom.
Element x y z (fractional)
Cs1 0.0000 0.0000 0.0000  10 Br 4.15-4.21
Rb1 0.2949 0.7949 0.5000  7 Br 3.43-3.79
Rb2 0.7051 0.2051 0.5000  7 Br 3.43-3.79
Pb1 0.5000 0.5000 0.0000  6 Br 2.92-3.04
Br1 0.1173 0.3677 0.7496  1 Pb 3.04
Br2 0.3819 0.6323 0.7496  1 Pb 3.04
Br3 0.5000 0.0000 0.5000  2 Pb 2.92
Br4 0.6181 0.3677 0.2504  1 Pb 3.04
Br5 0.8827 0.6323 0.2504  1 Pb 3.04

Values from the calculation:
E_form (uncorrected)   -1473 meV/atom
D(E_F)   0.0 states/eV per cell
SG   Immm (71)

---

[3]
## Cs2RbPbBr5 (PBE)

Data for a relaxed structure of Cs2RbPbBr5.

Unit cell a=10.1363 b=10.1363 c=10.1363 alpha=146.48 beta=131.61 gamma=60.15
With the nearest neighbours (Å) after each atom.
Element x y z (fractional)
Cs1 0.2048 0.2048 0.0000  7 Br 3.59-3.87
Cs2 0.7952 0.7952 0.0000  7 Br 3.59-3.87
Rb1 0.5000 0.0000 0.5000  10 Br 4.15-4.19
Pb1 0.0000 0.5000 0.5000  6 Br 2.92-3.05
Br1 0.0000 0.0000 0.0000  2 Pb 2.92
Br2 0.1292 0.3747 0.7545  1 Pb 3.05
Br3 0.3798 0.6253 0.7545  1 Pb 3.05
Br4 0.6202 0.3747 0.2455  1 Pb 3.05
Br5 0.8708 0.6253 0.2455  1 Pb 3.05

Values from the calculation:
E_form (uncorrected)   -1467 meV/atom
D(E_F)   0.0 states/eV per cell
SG   Immm (71)